A) Material: LuCoSiAu
Method: DFT, PBE-GGA
State: relaxed

a = 6.401 Å, b = 6.401 Å, c = 6.401 Å
α = 90.00°, β = 90.00°, γ = 90.00°
Space group F-43m (No. 216)
Inequivalent atoms, fractional coordinates:
Lu 0.000 0.000 0.000 [4 per cell]
Co 0.250 0.250 0.750 [4 per cell]
Si 0.000 0.000 0.500 [4 per cell]
Au 0.250 0.250 0.250 [4 per cell]

Calculated values
As for the volume: 16.4 Å³/atom. The value obtained for the density is 11622 kg/m³. The value obtained for the total moment is 1.1 μB/f.u.


B) Material: LuCoSiAu
Method: DFT, PBE-GGA
State: relaxed

a = 6.463 Å, b = 6.463 Å, c = 6.463 Å
α = 90.00°, β = 90.00°, γ = 90.00°
Space group F-43m (No. 216)
Inequivalent atoms, fractional coordinates:
Lu 0.000 0.000 0.000 [4 per cell]
Co 0.000 0.000 0.500 [4 per cell]
Si 0.250 0.250 0.250 [4 per cell]
Au 0.250 0.250 0.750 [4 per cell]

Calculated values
As for the volume: 16.9 Å³/atom. The value obtained for the density is 11292 kg/m³. The value obtained for the total moment is 1.0 μB/f.u.


Most stable: A). Least stable: B).


A) Material: LuCoSnAu
Method: DFT, PBE-GGA
State: relaxed

a = 6.702 Å, b = 6.702 Å, c = 6.702 Å
α = 90.00°, β = 90.00°, γ = 90.00°
Space group F-43m (No. 216)
Inequivalent atoms, fractional coordinates:
Lu 0.000 0.000 0.000 [4 per cell]
Co 0.000 0.000 0.500 [4 per cell]
Sn 0.250 0.250 0.250 [4 per cell]
Au 0.250 0.250 0.750 [4 per cell]

Calculated values
As for the volume: 18.8 Å³/atom. The value obtained for the density is 12126 kg/m³. The value obtained for the total moment is 0.9 μB/f.u.


B) Material: LuCoSnAu
Method: DFT, PBE-GGA
State: relaxed

a = 6.691 Å, b = 6.691 Å, c = 6.691 Å
α = 90.00°, β = 90.00°, γ = 90.00°
Space group F-43m (No. 216)
Inequivalent atoms, fractional coordinates:
Lu 0.000 0.000 0.000 [4 per cell]
Co 0.250 0.250 0.750 [4 per cell]
Sn 0.000 0.000 0.500 [4 per cell]
Au 0.250 0.250 0.250 [4 per cell]

Calculated values
As for the volume: 18.7 Å³/atom. The value obtained for the density is 12185 kg/m³. The value obtained for the total moment is 1.2 μB/f.u.


Most stable: B). Least stable: A).


A) Material: LuTlCoAu
Method: DFT, PBE-GGA
State: relaxed

a = 6.755 Å, b = 6.755 Å, c = 6.755 Å
α = 90.00°, β = 90.00°, γ = 90.00°
Space group F-43m (No. 216)
Inequivalent atoms, fractional coordinates:
Lu 0.000 0.000 0.000 [4 per cell]
Tl 0.250 0.250 0.250 [4 per cell]
Co 0.000 0.000 0.500 [4 per cell]
Au 0.250 0.250 0.750 [4 per cell]

Calculated values
As for the volume: 19.3 Å³/atom. The value obtained for the density is 13688 kg/m³. The value obtained for the total moment is 1.4 μB/f.u.


B) Material: LuTlCoAu
Method: DFT, PBE-GGA
State: relaxed

a = 6.752 Å, b = 6.752 Å, c = 6.752 Å
α = 90.00°, β = 90.00°, γ = 90.00°
Space group F-43m (No. 216)
Inequivalent atoms, fractional coordinates:
Lu 0.000 0.000 0.000 [4 per cell]
Tl 0.000 0.000 0.500 [4 per cell]
Co 0.250 0.250 0.750 [4 per cell]
Au 0.250 0.250 0.250 [4 per cell]

Calculated values
As for the volume: 19.2 Å³/atom. The value obtained for the density is 13706 kg/m³. The value obtained for the total moment is 1.3 μB/f.u.


Most stable: B). Least stable: A).


A) Material: CoMoPbAu
Method: DFT, PBE-GGA
State: relaxed

a = 6.531 Å, b = 6.531 Å, c = 6.531 Å
α = 90.00°, β = 90.00°, γ = 90.00°
Space group F-43m (No. 216)
Inequivalent atoms, fractional coordinates:
Co 0.000 0.000 0.000 [4 per cell]
Mo 0.250 0.250 0.250 [4 per cell]
Pb 0.250 0.250 0.750 [4 per cell]
Au 0.000 0.000 0.500 [4 per cell]

Calculated values
As for the volume: 17.4 Å³/atom. The value obtained for the density is 13326 kg/m³. The value obtained for the total moment is 1.5 μB/f.u.


B) Material: CoMoPbAu
Method: DFT, PBE-GGA
State: relaxed

a = 6.516 Å, b = 6.516 Å, c = 6.516 Å
α = 90.00°, β = 90.00°, γ = 90.00°
Space group F-43m (No. 216)
Inequivalent atoms, fractional coordinates:
Co 0.000 0.000 0.000 [4 per cell]
Mo 0.000 0.000 0.500 [4 per cell]
Pb 0.250 0.250 0.750 [4 per cell]
Au 0.250 0.250 0.250 [4 per cell]

Calculated values
As for the volume: 17.3 Å³/atom. The value obtained for the density is 13421 kg/m³. The value obtained for the total moment is 1.4 μB/f.u.


Most stable: B). Least stable: A).